GdThTlBi | PBE | relaxed

The structure in extended XYZ format:
```
4
Lattice="-4.086 0.169 -3.722 -4.841 -2.438 1.096 -4.491 3.079 0.962" Properties=species:S:1:pos:R:3 pbc="T T T"
Gd -10.063 0.608 -1.248
Tl 0.000 0.000 0.000
Th -3.354 0.203 -0.416
Bi -6.708 0.405 -0.832
```

Values from the calculation:
The calculation puts the total magnetization at 7.9 Bohr magnetons per cell. As for the energy of formation from the pure elements: -0.328 eV per atom.



GdTl2Bi | PBE | relaxed

The structure in extended XYZ format:
```
4
Lattice="-2.093 -2.719 -0.919 0.048 -1.232 -3.332 8.010 -9.010 1.552" Properties=species:S:1:pos:R:3 pbc="T T T"
Gd 0.000 0.000 0.000
Tl 5.694 -6.961 0.761
Tl 0.270 -6.001 -3.460
Bi 2.982 -6.481 -1.349
```

Values from the calculation:
The calculation puts the total magnetization at 7.7 Bohr magnetons per cell. As for the energy of formation from the pure elements: 0.100 eV per atom.



GdTlBi2 | PBE | relaxed

The structure in extended XYZ format:
```
4
Lattice="-0.092 -4.756 -2.970 -0.983 -4.889 2.565 -4.850 -2.685 -0.845" Properties=species:S:1:pos:R:3 pbc="T T T"
Bi -1.481 -3.082 -0.313
Bi -4.444 -9.247 -0.938
Gd -2.962 -6.165 -0.625
Tl 0.000 0.000 0.000
```

Values from the calculation:
The calculation puts the total magnetization at 7.1 Bohr magnetons per cell. As for the energy of formation from the pure elements: -0.260 eV per atom.



GdTlBi2 | PBE | relaxed

The structure in extended XYZ format:
```
4
Lattice="-1.347 -2.863 3.638 2.868 -0.531 3.839 -2.659 4.323 5.612" Properties=species:S:1:pos:R:3 pbc="T T T"
Bi -0.962 0.883 9.923
Bi -0.176 0.046 3.166
Gd 0.000 0.000 0.000
Tl -0.569 0.465 6.544
```

Values from the calculation:
The calculation puts the total magnetization at 7.0 Bohr magnetons per cell. As for the energy of formation from the pure elements: -0.202 eV per atom.



> energy of formation from the pure elements of number 4 (GdTlBi2)?

-0.202 eV per atom



> Which of these has the lowest energy of formation from the pure elements?

GdThTlBi



> Which value of energy of formation from the pure elements does entry 1 give?

-0.328 eV per atom



> energy of formation from the pure elements of number 2 (GdTl2Bi)?

0.100 eV per atom